[1]
# PBE-GGA PuCd4Hg, optimized geometry
# Space-group type ... No. 216
# Formation energy ... 0.05 eV/atom
# Spin magnetization ... 5.90 μB per cell
# ΔE to the lowest computed polymorph ... 89.0 meV per atom
data_PuCd4Hg
_cell_length_a 5.957
_cell_length_b 5.957
_cell_length_c 5.957
_cell_angle_alpha 60.00
_cell_angle_beta 60.00
_cell_angle_gamma 60.00
_symmetry_space_group_name_H-M 'P 1'
_symmetry_Int_Tables_number 1
loop_
_symmetry_equiv_pos_as_xyz
'x,y,z'
loop_
_atom_site_label
_atom_site_fract_x
_atom_site_fract_y
_atom_site_fract_z
Pu1 0.000 0.000 0.000
Cd1 0.125 0.625 0.625
Cd2 0.625 0.125 0.625
Cd3 0.625 0.625 0.125
Cd4 0.625 0.625 0.625
Hg1 0.250 0.250 0.250

[2]
# PBE-GGA K3Pa2MoN6, optimized geometry
# Space-group type ... No. 12
# Raw formation energy ... -957 kJ/mol of formula units
# Spin magnetization ... 0.63 μB per cell
data_K3Pa2MoN6
_cell_length_a 5.954
_cell_length_b 5.954
_cell_length_c 6.686
_cell_angle_alpha 98.42
_cell_angle_beta 98.42
_cell_angle_gamma 120.05
_symmetry_space_group_name_H-M 'P 1'
_symmetry_Int_Tables_number 1
loop_
_symmetry_equiv_pos_as_xyz
'x,y,z'
loop_
_atom_site_label
_atom_site_fract_x
_atom_site_fract_y
_atom_site_fract_z
K1 0.000 0.000 0.000
K2 0.342 0.658 0.000
K3 0.658 0.342 0.000
Pa1 0.167 0.833 0.500
Pa2 0.833 0.167 0.500
Mo1 0.500 0.500 0.500
N1 0.131 0.445 0.335
N2 0.239 0.239 0.663
N3 0.445 0.131 0.335
N4 0.555 0.869 0.665
N5 0.761 0.761 0.337
N6 0.869 0.555 0.665

[3]
# PBE-GGA NaHgSe2Br, optimized geometry
# Space-group type ... No. 123
# Raw formation energy ... -41 kJ/mol of formula units
# Spin magnetization ... 0.91 μB per cell
# ΔE to the lowest computed polymorph ... 0.0 meV per atom
data_NaHgSe2Br
_cell_length_a 5.228
_cell_length_b 5.228
_cell_length_c 6.099
_cell_angle_alpha 90.00
_cell_angle_beta 90.00
_cell_angle_gamma 90.00
_symmetry_space_group_name_H-M 'P 1'
_symmetry_Int_Tables_number 1
loop_
_symmetry_equiv_pos_as_xyz
'x,y,z'
loop_
_atom_site_label
_atom_site_fract_x
_atom_site_fract_y
_atom_site_fract_z
Na1 0.000 0.000 0.000
Hg1 0.500 0.500 0.500
Se1 0.000 0.500 0.500
Se2 0.500 0.000 0.500
Br1 0.500 0.500 0.000

- What is the formula in the second record?
  K3Pa2MoN6

- The lowest spin magnetization belongs to which entry?
  K3Pa2MoN6